Entry 1:
A plane-wave DFT calculation with PBE was carried out for a geometry-optimized Na3TlPd3O8 structure.

Summary:
Uncorrected energy = -0.1801 hartree per atom
Total moment = 0.0000 μB per atom
Space-group type = C2/m (12)
Calculated volume = 204.01 Å³/f.u.
Uncorrected formation energy = -0.796 eV per atom

abc: 6.7764 6.7764 6.2292
angles: 115.88 115.88 55.02
With the nearest neighbours (Å) after each atom.
Fractional coordinates of all 15 atoms:
1 Na 0.0000 0.0000 0.0000  6 O 2.32-2.54
2 Na 0.0000 0.5000 0.0000  4 O 2.36-2.40
3 Na 0.5000 0.0000 0.0000  4 O 2.36-2.40
4 Tl 0.0000 0.0000 0.5000  6 O 2.26-2.48
5 Pd 0.0000 0.5000 0.5000  6 O 2.07
6 Pd 0.5000 0.0000 0.5000  6 O 2.07
7 Pd 0.5000 0.5000 0.5000  4 O 2.02
8 O 0.2200 0.2200 0.2591  2 Pd 2.07
9 O 0.2229 0.6708 0.6653  2 Pd 2.02-2.07, 1 Tl 2.26
10 O 0.2363 0.2363 0.7035  2 Pd 2.07
11 O 0.3292 0.7771 0.3347  2 Pd 2.02-2.07, 1 Tl 2.26
12 O 0.6708 0.2229 0.6653  2 Pd 2.02-2.07, 1 Tl 2.26
13 O 0.7637 0.7637 0.2965  2 Pd 2.07
14 O 0.7771 0.3292 0.3347  2 Pd 2.02-2.07, 1 Tl 2.26
15 O 0.7800 0.7800 0.7409  2 Pd 2.07

***

Entry 2:
A plane-wave DFT calculation with PBE was carried out for a geometry-optimized VAsRh3 structure.

Summary:
Formation energy from the elements = 0.523 eV per atom
Uncorrected energy = -0.2441 hartree per atom
Total moment = 0.5808 μB per atom
Space-group type = Pm-3m (221)
Calculated volume = 91.72 Å³/f.u.

abc: 4.5098 4.5098 4.5098
angles: 90.00 90.00 90.00
With the nearest neighbours (Å) after each atom.
Fractional coordinates of all 5 atoms:
1 V 0.0000 0.0000 0.0000  12 Rh 3.19
2 As 0.5000 0.5000 0.5000  6 Rh 2.25
3 Rh 0.0000 0.5000 0.5000  2 As 2.25
4 Rh 0.5000 0.0000 0.5000  2 As 2.25
5 Rh 0.5000 0.5000 0.0000  2 As 2.25

***

Entry 3:
A plane-wave DFT calculation with PBE was carried out for a geometry-optimized HfZnCoNi structure.

Summary:
Formation energy from the elements = -0.353 eV per atom
Uncorrected energy = -0.2345 hartree per atom
Total moment = 0.0704 μB per atom
Space-group type = F-43m (216)
Calculated volume = 55.14 Å³/f.u.

abc: 4.2722 4.2722 4.2722
angles: 60.00 60.00 60.00
With the nearest neighbours (Å) after each atom.
Fractional coordinates of all 4 atoms:
1 Hf 0.0000 0.0000 0.0000  4 Co 2.62, 4 Ni 2.62
2 Zn 0.5000 0.5000 0.5000  4 Co 2.62, 4 Ni 2.62
3 Co 0.7500 0.7500 0.7500  4 Zn 2.62, 4 Hf 2.62
4 Ni 0.2500 0.2500 0.2500  4 Zn 2.62, 4 Hf 2.62

***

Entry 4:
A plane-wave DFT calculation with PBE was carried out for a geometry-optimized CdHIN2 structure.

Summary:
Uncorrected energy = -0.0889 hartree per atom
Total moment = 0.4486 μB per atom
Space-group type = P4/mmm (123)
Calculated volume = 70.99 Å³/f.u.

abc: 4.4261 4.4261 3.6235
angles: 90.00 90.00 90.00
With the nearest neighbours (Å) after each atom.
Fractional coordinates of all 5 atoms:
1 Cd 0.0000 0.0000 0.0000  8 N 2.86, 4 I 3.13
2 H 0.5000 0.5000 0.5000  2 I 1.81
3 I 0.5000 0.5000 0.0000  2 H 1.81
4 N 0.0000 0.5000 0.5000  2 H 2.21
5 N 0.5000 0.0000 0.5000  2 H 2.21

***

Entry 5:
A plane-wave DFT calculation with PBE was carried out for a geometry-optimized LiInPb structure.

Summary:
Formation energy from the elements = -0.121 eV per atom
Uncorrected energy = -0.1069 hartree per atom
Total moment = 0.0000 μB per atom
Space-group type = Pm (6)
Calculated volume = 78.08 Å³/f.u.

abc: 4.8825 3.4767 9.2849
angles: 90.00 97.77 90.00
With the nearest neighbours (Å) after each atom.
Fractional coordinates of all 6 atoms:
1 Li 0.0000 0.0000 0.0000  4 In 3.07-3.09, 4 Pb 3.10-3.27, 2 Li 3.28
2 Li 0.0536 0.5000 0.3019  4 Pb 3.07-3.12, 2 In 3.18, 2 Li 3.28
3 In 0.4021 0.0000 0.5483  2 Li 3.18, 5 Pb 3.23-3.33, 2 In 3.48
4 In 0.4833 0.5000 0.9228  4 Li 3.07-3.09, 4 Pb 3.17-3.23
5 Pb 0.5395 0.0000 0.2181  6 Li 3.07-3.22, 3 In 3.23
6 Pb 0.9323 0.5000 0.6990  6 In 3.17-3.33, 2 Li 3.27, 2 Pb 3.48

***

Entry 6:
A plane-wave DFT calculation with PBE was carried out for a geometry-optimized DyTmAsO2 structure.

Summary:
Uncorrected energy = -0.2735 hartree per atom
Total moment = 0.0000 μB per atom
Space-group type = I4mm (107)
Calculated volume = 90.32 Å³/f.u.
Uncorrected formation energy = -2.713 eV per atom

abc: 6.9092 6.9092 6.9092
angles: 148.39 148.39 45.31
With the nearest neighbours (Å) after each atom.
Fractional coordinates of all 5 atoms:
1 Dy 0.0000 0.0000 0.0000  4 O 2.22
2 Tm 0.3218 0.3218 0.0000  4 O 2.18
3 As 0.6610 0.6610 0.0000  4 Tm 3.36, 4 Dy 3.36, 8 O 3.67-3.73
4 O 0.4082 0.9082 0.5000  2 Tm 2.18, 2 Dy 2.22
5 O 0.9082 0.4082 0.5000  2 Tm 2.18, 2 Dy 2.22

***

Entry 7:
A plane-wave DFT calculation with PBE was carried out for a geometry-optimized Ga2TcICl structure.

Summary:
Uncorrected energy = -0.1459 hartree per atom
Total moment = 0.0000 μB per atom
Space-group type = P4/mmm (123)
Calculated volume = 120.96 Å³/f.u.
Uncorrected formation energy = -0.006 eV per atom

abc: 5.1814 5.1814 4.5056
angles: 90.00 90.00 90.00
With the nearest neighbours (Å) after each atom.
Fractional coordinates of all 5 atoms:
1 Ga 0.0000 0.5000 0.0000  2 Tc 2.59
2 Ga 0.5000 0.0000 0.0000  2 Tc 2.59
3 Tc 0.0000 0.0000 0.0000  2 Cl 2.25
4 I 0.5000 0.5000 0.5000  8 Ga 3.43, 4 Cl 3.66
5 Cl 0.0000 0.0000 0.5000  2 Tc 2.25

***

Entry 8:
A plane-wave DFT calculation with PBE was carried out for a geometry-optimized K3AcNd2S6 structure.

Summary:
Uncorrected energy = -0.1961 hartree per atom
Total moment = 0.0000 μB per atom
Space-group type = C2/m (12)
Calculated volume = 352.14 Å³/f.u.
Uncorrected formation energy = -1.861 eV per atom

abc: 7.4101 7.4101 7.8069
angles: 99.11 99.11 120.00
With the nearest neighbours (Å) after each atom.
Fractional coordinates of all 12 atoms:
1 K 0.0000 0.0000 0.0000  6 S 3.21-3.31
2 K 0.3333 0.6667 0.0000  6 S 3.22-3.31
3 K 0.6667 0.3333 0.0000  6 S 3.22-3.31
4 Ac 0.5000 0.5000 0.5000  6 S 2.98-2.99
5 Nd 0.1667 0.8333 0.5000  6 S 2.88
6 Nd 0.8333 0.1667 0.5000  6 S 2.88
7 S 0.0860 0.4303 0.2909  2 Nd 2.88, 1 Ac 2.98, 1 K 3.22
8 S 0.2255 0.2255 0.7097  2 Nd 2.88, 1 Ac 2.99, 1 K 3.21
9 S 0.4303 0.0860 0.2909  2 Nd 2.88, 1 Ac 2.98, 1 K 3.22
10 S 0.5697 0.9140 0.7091  2 Nd 2.88, 1 Ac 2.98, 1 K 3.22
11 S 0.7745 0.7745 0.2903  2 Nd 2.88, 1 Ac 2.99, 1 K 3.21
12 S 0.9140 0.5697 0.7091  2 Nd 2.88, 1 Ac 2.98, 1 K 3.22